Entry 1:
Compound: GaS2ClO
Source: the Alexandria database
Functional: PBE
Structure: relaxed

Summary:
- relative energy among the computed polymorphs (eV per formula unit) = 2.14
- DFT total energy (eV/atom) = -2.90

Cell: 4.7685 4.7685 4.8191 Å, 90.00 90.00 90.00°
With the nearest neighbours (Å) after each atom.
Sites, in units of the cell vectors:
S (0.0000, 0.5000, 0.0000)  2 Ga 2.38
S (0.5000, 0.0000, 0.0000)  2 Ga 2.38
O (0.5000, 0.5000, 0.5000)  4 Cl 3.37, 8 S 3.39
Ga (0.0000, 0.0000, 0.0000)  4 S 2.38, 2 Cl 2.41
Cl (0.0000, 0.0000, 0.5000)  2 Ga 2.41



Entry 2:
Compound: GaS2ClO
Source: the Alexandria database
Functional: PBE
Structure: relaxed

Summary:
- relative energy among the computed polymorphs (eV per formula unit) = 0.00
- DFT total energy (eV/atom) = -3.32

Cell: 3.9274 3.9274 6.3614 Å, 90.00 90.00 90.00°
With the nearest neighbours (Å) after each atom.
Sites, in units of the cell vectors:
S (0.0000, 0.5000, 0.0000)  2 O 1.96
S (0.5000, 0.0000, 0.0000)  2 O 1.96
O (0.0000, 0.0000, 0.0000)  4 S 1.96
Ga (0.5000, 0.5000, 0.5000)  4 Cl 2.78
Cl (0.0000, 0.0000, 0.5000)  4 Ga 2.78



Entry 3:
Compound: GaSCl2O
Source: the Alexandria database
Functional: PBE
Structure: relaxed

Summary:
- relative energy among the computed polymorphs (eV per formula unit) = 0.41
- DFT total energy (eV/atom) = -2.68

Cell: 4.7202 4.7202 4.9674 Å, 90.00 90.00 90.00°
With the nearest neighbours (Å) after each atom.
Sites, in units of the cell vectors:
S (0.0000, 0.0000, 0.5000)  2 Ga 2.48
O (0.5000, 0.5000, 0.5000)  4 S 3.34, 8 Cl 3.43
Ga (0.0000, 0.0000, 0.0000)  4 Cl 2.36, 2 S 2.48
Cl (0.0000, 0.5000, 0.0000)  2 Ga 2.36
Cl (0.5000, 0.0000, 0.0000)  2 Ga 2.36



Entry 4:
Compound: GaSCl2O
Source: the Alexandria database
Functional: PBE
Structure: relaxed

Summary:
- relative energy among the computed polymorphs (eV per formula unit) = 0.00
- DFT total energy (eV/atom) = -2.76

Cell: 4.7641 4.7641 4.1055 Å, 90.00 90.00 90.00°
With the nearest neighbours (Å) after each atom.
Sites, in units of the cell vectors:
S (0.0000, 0.0000, 0.5000)  2 O 2.05
O (0.0000, 0.0000, 0.0000)  2 S 2.05
Ga (0.5000, 0.5000, 0.5000)  8 Cl 3.14, 4 S 3.37
Cl (0.0000, 0.5000, 0.0000)  2 O 2.38
Cl (0.5000, 0.0000, 0.0000)  2 O 2.38



Entry 5:
Compound: GaSnClO2
Source: the Alexandria database
Functional: PBE
Structure: relaxed

Summary:
- DFT total energy (eV/atom) = -5.21

Cell: 3.9503 9.1401 7.2464 Å, 124.83 90.00 90.00°
With the nearest neighbours (Å) after each atom.
Sites, in units of the cell vectors:
Ga (0.2500, 0.5912, 0.4378)  4 O 1.92-2.07
Ga (0.7500, 0.4088, 0.5622)  4 O 1.92-2.07
Sn (0.2500, 0.6713, 0.0043)  4 O 2.29-2.32
Sn (0.7500, 0.3287, 0.9957)  4 O 2.29-2.32
Cl (0.2500, 0.8813, 0.6420)  1 Ga 2.18
Cl (0.7500, 0.1187, 0.3580)  1 Ga 2.18
O (0.7500, 0.5074, 0.3864)  3 Ga 1.94-2.07
O (0.2500, 0.4926, 0.6136)  3 Ga 1.94-2.07
O (0.7500, 0.5146, 0.8799)  1 Ga 1.92
O (0.2500, 0.4854, 0.1201)  1 Ga 1.92



Entry 6:
Compound: Sr3Ga2Cl2O5
Source: the Alexandria database
Functional: PBE
Structure: relaxed

Summary:
- DFT total energy (eV/atom) = -5.72

Cell: 9.6647 9.6611 9.6802 Å, 90.00 90.00 90.00°
With the nearest neighbours (Å) after each atom.
Sites, in units of the cell vectors:
Sr (0.2926, 0.1677, 0.9942)  4 O 2.50-2.78
Sr (0.7926, 0.3323, 0.0058)  4 O 2.50-2.78
Sr (0.7074, 0.6677, 0.5058)  4 O 2.50-2.78
Sr (0.2074, 0.8323, 0.4942)  4 O 2.50-2.78
Sr (0.4752, 0.7529, 0.1663)  3 O 2.49-2.52
Sr (0.9752, 0.7471, 0.8337)  3 O 2.49-2.52
Sr (0.6657, 0.0235, 0.7370)  4 O 2.44-2.70
Sr (0.1657, 0.4765, 0.2630)  4 O 2.44-2.70
Sr (0.5248, 0.2529, 0.3337)  3 O 2.49-2.52
Sr (0.0248, 0.2471, 0.6663)  3 O 2.49-2.52
Sr (0.3343, 0.5235, 0.7630)  4 O 2.44-2.70
Sr (0.8343, 0.9765, 0.2370)  4 O 2.44-2.70
Ga (0.3400, 0.8527, 0.8543)  4 O 1.83-1.90
Ga (0.8400, 0.6473, 0.1457)  4 O 1.83-1.90
Ga (0.6432, 0.6550, 0.8450)  4 O 1.83-1.89
Ga (0.1432, 0.8450, 0.1550)  4 O 1.83-1.89
Ga (0.6600, 0.3527, 0.6457)  4 O 1.83-1.90
Ga (0.1600, 0.1473, 0.3543)  4 O 1.83-1.90
Ga (0.3568, 0.1550, 0.6550)  4 O 1.83-1.89
Ga (0.8568, 0.3450, 0.3450)  4 O 1.83-1.89
Cl (0.0945, 0.4649, 0.9523)  4 Sr 3.01-3.23, 3 O 3.04-3.34
Cl (0.5945, 0.0351, 0.0477)  4 Sr 3.01-3.23, 3 O 3.04-3.34
Cl (0.0149, 0.5804, 0.5653)  5 Sr 3.08-3.42, 3 O 3.14-3.36
Cl (0.5149, 0.9196, 0.4347)  5 Sr 3.08-3.42, 3 O 3.14-3.36
Cl (0.4851, 0.4196, 0.0653)  5 Sr 3.08-3.42, 3 O 3.14-3.36
Cl (0.9851, 0.0804, 0.9347)  5 Sr 3.08-3.42, 3 O 3.14-3.36
Cl (0.4055, 0.5351, 0.4523)  4 Sr 3.01-3.23, 3 O 3.04-3.34
Cl (0.9055, 0.9649, 0.5477)  4 Sr 3.01-3.23, 3 O 3.04-3.34
O (0.7268, 0.4102, 0.4718)  2 Ga 1.87-1.89
O (0.2268, 0.0898, 0.5282)  2 Ga 1.87-1.89
O (0.7187, 0.7393, 0.2580)  1 Ga 1.83
O (0.2187, 0.7607, 0.7420)  1 Ga 1.83
O (0.7813, 0.2607, 0.7580)  1 Ga 1.83
O (0.2813, 0.2393, 0.2420)  1 Ga 1.83
O (0.7732, 0.5898, 0.9718)  2 Ga 1.87-1.89
O (0.2732, 0.9102, 0.0282)  2 Ga 1.87-1.89
O (0.2375, 0.7187, 0.2604)  1 Ga 1.83
O (0.7375, 0.7813, 0.7396)  1 Ga 1.83
O (0.5888, 0.5158, 0.7194)  2 Ga 1.86-1.89
O (0.0888, 0.9842, 0.2806)  2 Ga 1.86-1.89
O (0.4112, 0.0158, 0.7806)  2 Ga 1.86-1.89
O (0.9112, 0.4842, 0.2194)  2 Ga 1.86-1.89
O (0.5287, 0.2170, 0.5901)  2 Ga 1.87-1.90
O (0.0287, 0.2830, 0.4099)  2 Ga 1.87-1.90
O (0.4713, 0.7170, 0.9099)  2 Ga 1.87-1.90
O (0.9713, 0.7830, 0.0901)  2 Ga 1.87-1.90
O (0.2625, 0.2813, 0.7604)  1 Ga 1.83
O (0.7625, 0.2187, 0.2396)  1 Ga 1.83



Entry 7:
Compound: TlGaClO2
Source: the Alexandria database
Functional: PBE
Structure: relaxed

Summary:
- DFT total energy (eV/atom) = -3.59

Cell: 4.2487 5.8000 4.2487 Å, 90.00 90.00 90.00°
With the nearest neighbours (Å) after each atom.
Sites, in units of the cell vectors:
Tl (0.0000, 0.0000, 0.0000)  4 O 2.12
O (0.0000, 0.0000, 0.5000)  2 Tl 2.12
O (0.5000, 0.0000, 0.0000)  2 Tl 2.12
Ga (0.5000, 0.5000, 0.5000)  4 Cl 3.00
Cl (0.0000, 0.5000, 0.0000)  2 Tl 2.90, 4 Ga 3.00



Entry 8:
Compound: GaOs3Cl
Source: the Alexandria database
Functional: PBE
Structure: relaxed

Summary:
- relative energy among the computed polymorphs (eV per formula unit) = 2.34
- DFT total energy (eV/atom) = -5.30

Cell: 4.6495 4.6495 4.6495 Å, 90.00 90.00 90.00°
With the nearest neighbours (Å) after each atom.
Sites, in units of the cell vectors:
Os (0.0000, 0.5000, 0.0000)  2 Ga 2.32
Os (0.0000, 0.0000, 0.5000)  2 Ga 2.32
Os (0.5000, 0.0000, 0.0000)  2 Ga 2.32
Ga (0.0000, 0.0000, 0.0000)  6 Os 2.32
Cl (0.5000, 0.5000, 0.5000)  12 Os 3.29



Entry 9:
Compound: GaOs3Cl
Source: the Alexandria database
Functional: PBE
Structure: relaxed

Summary:
- relative energy among the computed polymorphs (eV per formula unit) = 0.00
- DFT total energy (eV/atom) = -5.77

Cell: 4.3715 4.3715 4.3715 Å, 90.00 90.00 90.00°
With the nearest neighbours (Å) after each atom.
Sites, in units of the cell vectors:
Os (0.0000, 0.5000, 0.0000)  2 Cl 2.19
Os (0.0000, 0.0000, 0.5000)  2 Cl 2.19
Os (0.5000, 0.0000, 0.0000)  2 Cl 2.19
Ga (0.5000, 0.5000, 0.5000)  12 Os 3.09
Cl (0.0000, 0.0000, 0.0000)  6 Os 2.19



Entry 10:
Compound: Ga2OsCl
Source: the Alexandria database
Functional: PBE
Structure: relaxed

Summary:
- relative energy among the computed polymorphs (eV per formula unit) = 0.00
- DFT total energy (eV/atom) = -4.36

Cell: 5.9299 5.9299 7.1995 Å, 65.68 65.68 90.00°
With the nearest neighbours (Å) after each atom.
Sites, in units of the cell vectors:
Os (0.0000, 0.0000, 0.0000)  4 Ga 2.39
Os (0.7500, 0.2500, 0.5000)  4 Ga 2.39
Ga (0.6757, 0.1250, 0.2500)  2 Os 2.39
Ga (0.0743, 0.6250, 0.2500)  2 Os 2.39
Ga (0.3750, 0.3243, 0.7500)  2 Os 2.39
Ga (0.8750, 0.9257, 0.7500)  2 Os 2.39
Cl (0.5000, 0.5000, 0.0000)  4 Ga 2.74
Cl (0.2500, 0.7500, 0.5000)  4 Ga 2.74



Entry 11:
Compound: Ga2OsCl
Source: the Alexandria database
Functional: PBE
Structure: relaxed

Summary:
- relative energy among the computed polymorphs (eV per formula unit) = 1.21
- DFT total energy (eV/atom) = -4.06

Cell: 4.6142 4.6142 4.6142 Å, 60.00 60.00 60.00°
With the nearest neighbours (Å) after each atom.
Sites, in units of the cell vectors:
Os (0.5000, 0.5000, 0.5000)  8 Ga 2.83
Ga (0.2500, 0.2500, 0.2500)  4 Cl 2.83, 4 Os 2.83
Ga (0.7500, 0.7500, 0.7500)  4 Os 2.83, 4 Cl 2.83
Cl (0.0000, 0.0000, 0.0000)  8 Ga 2.83



Entry 12:
Compound: GaP2OsCl
Source: the Alexandria database
Functional: PBE
Structure: relaxed

Summary:
- relative energy among the computed polymorphs (eV per formula unit) = 5.52
- DFT total energy (eV/atom) = -3.94

Cell: 4.6823 4.6823 4.5499 Å, 90.00 90.00 90.00°
With the nearest neighbours (Å) after each atom.
Sites, in units of the cell vectors:
P (0.0000, 0.5000, 0.0000)  2 Ga 2.34
P (0.5000, 0.0000, 0.0000)  2 Ga 2.34
Os (0.5000, 0.5000, 0.5000)  8 P 3.26, 4 Cl 3.31
Ga (0.0000, 0.0000, 0.0000)  2 Cl 2.27, 4 P 2.34
Cl (0.0000, 0.0000, 0.5000)  2 Ga 2.27



Entry 13:
Compound: GaP2OsCl
Source: the Alexandria database
Functional: PBE
Structure: relaxed

Summary:
- relative energy among the computed polymorphs (eV per formula unit) = 0.00
- DFT total energy (eV/atom) = -5.05

Cell: 4.5050 4.5050 5.5737 Å, 90.00 90.00 90.00°
With the nearest neighbours (Å) after each atom.
Sites, in units of the cell vectors:
P (0.0000, 0.5000, 0.0000)  2 Os 2.25
P (0.5000, 0.0000, 0.0000)  2 Os 2.25
Os (0.0000, 0.0000, 0.0000)  4 P 2.25
Ga (0.5000, 0.5000, 0.5000)  4 Cl 3.19
Cl (0.0000, 0.0000, 0.5000)  2 Os 2.79



Entry 14:
Compound: Pr6GaOs2Cl3
Source: the Alexandria database
Functional: PBE
Structure: relaxed

Summary:
- DFT total energy (eV/atom) = -5.83

Cell: 7.2778 7.2778 7.9527 Å, 98.67 98.67 120.42°
With the nearest neighbours (Å) after each atom.
Sites, in units of the cell vectors:
Pr (0.9346, 0.5764, 0.7908)  2 Os 2.83-2.84, 1 Ga 3.04, 1 Cl 3.14
Pr (0.7156, 0.7156, 0.2151)  2 Os 2.84, 1 Ga 3.05, 1 Cl 3.12
Pr (0.0654, 0.4236, 0.2092)  2 Os 2.83-2.84, 1 Ga 3.04, 1 Cl 3.14
Pr (0.5764, 0.9346, 0.7908)  2 Os 2.83-2.84, 1 Ga 3.04, 1 Cl 3.14
Pr (0.2844, 0.2844, 0.7849)  2 Os 2.84, 1 Ga 3.05, 1 Cl 3.12
Pr (0.4236, 0.0654, 0.2092)  2 Os 2.83-2.84, 1 Ga 3.04, 1 Cl 3.14
Ga (0.0000, 0.0000, 0.0000)  6 Pr 3.04-3.05
Os (0.3356, 0.6644, 0.0000)  6 Pr 2.83-2.84
Os (0.6644, 0.3356, 0.0000)  6 Pr 2.83-2.84
Cl (0.1692, 0.8308, 0.5000)  6 Pr 3.14-3.33
Cl (0.8308, 0.1692, 0.5000)  6 Pr 3.14-3.33
Cl (0.5000, 0.5000, 0.5000)  6 Pr 3.12-3.36



Entry 15:
Compound: Pr8GaOs3Cl4
Source: the Alexandria database
Functional: PBE
Structure: relaxed

Summary:
- DFT total energy (eV/atom) = -5.97

Cell: 8.3762 8.9798 8.3728 Å, 117.84 120.01 90.00°
With the nearest neighbours (Å) after each atom.
Sites, in units of the cell vectors:
Pr (0.2425, 0.7045, 0.9626)  2 Os 2.83, 1 Ga 2.96
Pr (0.2424, 0.7044, 0.4849)  2 Os 2.83, 1 Ga 2.96
Pr (0.2620, 0.2866, 0.5240)  3 Os 2.91, 3 Cl 3.24-3.25
Pr (0.7200, 0.7045, 0.9626)  2 Os 2.83, 1 Ga 2.96
Pr (0.2800, 0.2955, 0.0374)  2 Os 2.83, 1 Ga 2.96
Pr (0.7380, 0.7134, 0.4760)  3 Os 2.91, 3 Cl 3.24-3.25
Pr (0.7576, 0.2956, 0.5151)  2 Os 2.83, 1 Ga 2.96
Pr (0.7575, 0.2955, 0.0374)  2 Os 2.83, 1 Ga 2.96
Ga (0.0000, 0.5000, 0.0000)  6 Pr 2.96
Os (0.5000, 0.5000, 0.0000)  6 Pr 2.83-2.91
Os (0.5000, 0.5000, 0.5000)  6 Pr 2.83-2.91
Os (0.0000, 0.5000, 0.5000)  6 Pr 2.83-2.91
Cl (0.5000, 0.0000, 0.0000)  6 Pr 3.21-3.22
Cl (0.5000, 0.0000, 0.5000)  6 Pr 3.25-3.34
Cl (0.0000, 0.0000, 0.0000)  6 Pr 3.24-3.34
Cl (0.0000, 0.0000, 0.5000)  6 Pr 3.25-3.34



Entry 16:
Compound: GaOsS2Cl
Source: the Alexandria database
Functional: PBE
Structure: relaxed

Summary:
- relative energy among the computed polymorphs (eV per formula unit) = 4.75
- DFT total energy (eV/atom) = -3.76

Cell: 4.7335 4.7335 4.6111 Å, 90.00 90.00 90.00°
With the nearest neighbours (Å) after each atom.
Sites, in units of the cell vectors:
S (0.0000, 0.5000, 0.0000)  2 Ga 2.37
S (0.5000, 0.0000, 0.0000)  2 Ga 2.37
Os (0.5000, 0.5000, 0.5000)  8 S 3.30, 4 Cl 3.35
Ga (0.0000, 0.0000, 0.0000)  2 Cl 2.31, 4 S 2.37
Cl (0.0000, 0.0000, 0.5000)  2 Ga 2.31



Entry 17:
Compound: GaOsS2Cl
Source: the Alexandria database
Functional: PBE
Structure: relaxed

Summary:
- relative energy among the computed polymorphs (eV per formula unit) = 6.90
- DFT total energy (eV/atom) = -3.33

Cell: 5.0844 4.2443 5.0844 Å, 90.00 90.00 90.00°
With the nearest neighbours (Å) after each atom.
Sites, in units of the cell vectors:
S (0.0000, 0.0000, 0.5000)  2 Cl 2.54
S (0.5000, 0.0000, 0.0000)  2 Cl 2.54
Os (0.0000, 0.5000, 0.0000)  2 Cl 2.12
Ga (0.5000, 0.5000, 0.5000)  8 S 3.31, 4 Os 3.60
Cl (0.0000, 0.0000, 0.0000)  2 Os 2.12



Entry 18:
Compound: GaOsS2Cl
Source: the Alexandria database
Functional: PBE
Structure: relaxed

Summary:
- relative energy among the computed polymorphs (eV per formula unit) = 0.00
- DFT total energy (eV/atom) = -4.71

Cell: 4.5638 4.5638 5.2213 Å, 90.00 90.00 90.00°
With the nearest neighbours (Å) after each atom.
Sites, in units of the cell vectors:
S (0.0000, 0.5000, 0.0000)  2 Os 2.28
S (0.5000, 0.0000, 0.0000)  2 Os 2.28
Os (0.0000, 0.0000, 0.0000)  4 S 2.28
Ga (0.5000, 0.5000, 0.5000)  4 Cl 3.23, 8 S 3.47
Cl (0.0000, 0.0000, 0.5000)  2 Os 2.61



Entry 19:
Compound: GaSn2OsCl
Source: the Alexandria database
Functional: PBE
Structure: relaxed

Summary:
- DFT total energy (eV/atom) = -5.12

Cell: 5.1164 5.1164 4.8886 Å, 90.00 90.00 90.00°
With the nearest neighbours (Å) after each atom.
Sites, in units of the cell vectors:
Os (0.0000, 0.0000, 0.0000)  2 Ga 2.44, 4 Sn 2.56
Sn (0.0000, 0.5000, 0.0000)  2 Os 2.56
Sn (0.5000, 0.0000, 0.0000)  2 Os 2.56
Ga (0.0000, 0.0000, 0.5000)  2 Os 2.44
Cl (0.5000, 0.5000, 0.5000)  8 Sn 3.54, 4 Ga 3.62



Entry 20:
Compound: GaTc2OsCl
Source: the Alexandria database
Functional: PBE
Structure: relaxed

Summary:
- DFT total energy (eV/atom) = -5.24

Cell: 4.7464 4.4746 4.7464 Å, 90.00 90.00 90.00°
With the nearest neighbours (Å) after each atom.
Sites, in units of the cell vectors:
Os (0.5000, 0.5000, 0.5000)  8 Tc 3.26, 4 Cl 3.36
Tc (0.0000, 0.0000, 0.5000)  2 Ga 2.37
Tc (0.5000, 0.0000, 0.0000)  2 Ga 2.37
Ga (0.0000, 0.0000, 0.0000)  2 Cl 2.24, 4 Tc 2.37
Cl (0.0000, 0.5000, 0.0000)  2 Ga 2.24